# 1
Here is Li12CuRh2 after structural relaxation from Alexandria via LeMat-Bulk. Energies are from PBE.

DFT formation energy   0.067 eV per formula unit
Magnetization   1.19 μB/cell
Electronic total energy   -2.780 eV/atom

Geometry as POSCAR:
```
Li12CuRh2
1.0
2.5784 -4.6344 0.0000
2.5784 4.6344 0.0000
0.0000 0.0000 19.7440
Li Cu Rh
24 2 4
direct
0.0013 0.5013 0.1287
0.0005 0.9995 0.9368
0.0170 0.5170 0.6307
0.1073 0.8927 0.4660
0.2500 0.2500 0.2003
0.2500 0.2500 0.3191
0.2500 0.2500 0.6809
0.2500 0.2500 0.7997
0.3927 0.6073 0.4660
0.4830 0.9830 0.6307
0.4995 0.5005 0.9368
0.4987 0.9987 0.1287
0.5013 0.0013 0.8713
0.5005 0.4995 0.0632
0.5170 0.0170 0.3693
0.6073 0.3927 0.5340
0.7500 0.7500 0.2003
0.7500 0.7500 0.3191
0.7500 0.7500 0.6809
0.7500 0.7500 0.7997
0.8927 0.1073 0.5340
0.9830 0.4830 0.3693
0.9995 0.0005 0.0632
0.9987 0.4987 0.8713
0.2500 0.7500 0.0001
0.7500 0.2500 0.9999
0.2500 0.7500 0.2539
0.2500 0.7500 0.7486
0.7500 0.2500 0.2514
0.7500 0.2500 0.7461
```

***

# 2
Here is Li12Cu7Rh after structural relaxation from Alexandria via LeMat-Bulk. Energies are from PBE.

DFT formation energy   0.011 eV per formula unit
Magnetization   0.00 μB/cell
Electronic total energy   -2.949 eV/atom

Geometry as POSCAR:
```
Li12Cu7Rh
1.0
4.1037 2.3693 5.3189
-4.1037 2.3693 5.3189
0.0000 -4.7385 5.3189
Li Cu Rh
12 7 1
direct
0.0491 0.6406 0.6406
0.2296 0.2296 0.6488
0.2296 0.6488 0.2296
0.3512 0.7704 0.7704
0.3594 0.3594 0.9509
0.3594 0.9509 0.3594
0.6406 0.0491 0.6406
0.6406 0.6406 0.0491
0.6488 0.2296 0.2296
0.7704 0.3512 0.7704
0.7704 0.7704 0.3512
0.9509 0.3594 0.3594
0.0062 0.0062 0.3328
0.0062 0.3328 0.0062
0.3328 0.0062 0.0062
0.5000 0.5000 0.5000
0.6672 0.9938 0.9938
0.9938 0.6672 0.9938
0.9938 0.9938 0.6672
0.0000 0.0000 0.0000
```

***

Number 1: calculated density 2.48 Mg/m³. Number 2: calculated density 3.38 Mg/m³.